Below is a relaxed structure of CuRh2Cl, with properties calculated at the PBE level.

a b c (Å): 2.8744 4.4581 4.4581
angles (deg): 90.00 90.00 90.00
Closest atoms and distances in Å follow each position.
Element x y z (fractional)
1 Cl 0.5000 0.5000 0.0000  8 Rh 2.65, 2 Cl 2.87
2 Rh 0.0000 0.0000 0.0000  4 Cl 2.65, 4 Cu 2.65, 2 Rh 2.87
3 Rh 0.0000 0.5000 0.5000  4 Cu 2.65, 4 Cl 2.65, 2 Rh 2.87
4 Cu 0.5000 0.0000 0.5000  8 Rh 2.65, 2 Cu 2.87

Uncorrected formation energy   526 meV/atom
Total moment   0.0 μB/f.u.
VASP energy   -18.54 eV/f.u.
SG   No. 123
Relative energy among the computed polymorphs   345 meV per atom